A plane-wave DFT calculation with GGA+U was carried out for crystalline VBi2PtF at its relaxed geometry. Values from VASP.

Results
Total DFT energy (no corrections) in eV/atom: -4.02
SG: P4/mmm
Total magnetization in μB per cell: 0.86
Calculated volume in Å³ per cell: 145.7

```
&SYSTEM
  ibrav = 0, nat = 5, ntyp = 4
/
ATOMIC_SPECIES
V 50.94 V.upf
Bi 208.98 Bi.upf
Pt 195.08 Pt.upf
F 19.00 F.upf
CELL_PARAMETERS angstrom
5.4217 0.0000 0.0000
0.0000 4.9551 0.0000
0.0000 0.0000 5.4217
ATOMIC_POSITIONS crystal
V 0.0000 0.5000 0.0000
Bi 0.0000 0.0000 0.5000
Bi 0.5000 0.0000 0.0000
Pt 0.0000 0.0000 0.0000
F 0.5000 0.5000 0.5000
```